# Ce6Bi2C | Alexandria | GGA-PBE | relaxed
data_Ce6Bi2C
_space_group_name_H-M_alt 'I m m m'
_space_group_IT_number 71
_space_group_name_Hall '-I 2 2'
_cell_length_a 4.625
_cell_length_b 7.073
_cell_length_c 15.937
_cell_angle_alpha 90.00
_cell_angle_beta 90.00
_cell_angle_gamma 90.00
loop_
_atom_site_label
_atom_site_fract_x
_atom_site_fract_y
_atom_site_fract_z
Ce1 0.000 0.187 0.135
Ce2 0.000 0.298 0.500
Bi1 0.000 0.000 0.331
C1 0.000 0.000 0.000
# Calculated volume, Å³/f.u.: 261
# E above lowest polymorph, kJ/mol of formula units: 268
# Energy, eV per atom: -5.969
# ΔE_f, eV per formula unit: -1.14
# Magnetic moment, μB per formula unit: 4.3

# TbPmHoSn | Alexandria | GGA-PBE | relaxed
data_TbPmHoSn
_space_group_name_H-M_alt 'F -4 3 m'
_space_group_IT_number 216
_space_group_name_Hall 'F -4 2 3'
_cell_length_a 7.692
_cell_length_b 7.692
_cell_length_c 7.692
_cell_angle_alpha 90.00
_cell_angle_beta 90.00
_cell_angle_gamma 90.00
loop_
_atom_site_label
_atom_site_fract_x
_atom_site_fract_y
_atom_site_fract_z
Tb1 0.000 0.000 0.000
Pm1 0.250 0.250 0.250
Ho1 0.000 0.000 0.500
Sn1 0.250 0.250 0.750
# Calculated volume, Å³/f.u.: 114
# Energy, eV per atom: -4.707
# ΔE_f, eV per formula unit: -0.87
# Magnetic moment, μB per formula unit: 0.4

# Be2PtCl | Alexandria | GGA-PBE | relaxed
data_Be2PtCl
_space_group_name_H-M_alt 'P 1 m 1'
_space_group_IT_number 6
_space_group_name_Hall 'P -2y'
_cell_length_a 3.438
_cell_length_b 2.949
_cell_length_c 7.470
_cell_angle_alpha 90.00
_cell_angle_beta 96.41
_cell_angle_gamma 90.00
loop_
_atom_site_label
_atom_site_fract_x
_atom_site_fract_y
_atom_site_fract_z
Be1 0.000 0.000 0.000
Be2 0.065 0.500 0.267
Pt1 0.510 0.500 0.043
Cl1 0.108 0.000 0.448
# Uncorrected formation energy, kJ/mol of formula units: -207
# Calculated volume, Å³/f.u.: 75
# E above lowest polymorph, kJ/mol of formula units: 0
# Energy, eV per atom: -4.372
# Magnetic moment, μB per formula unit: 0.0

# V9Ga11Ni4 | Alexandria | GGA-PBE | relaxed
data_V9Ga11Ni4
_space_group_name_H-M_alt 'C m m m'
_space_group_IT_number 65
_space_group_name_Hall '-C 2 2'
_cell_length_a 13.577
_cell_length_b 17.993
_cell_length_c 2.680
_cell_angle_alpha 90.00
_cell_angle_beta 90.00
_cell_angle_gamma 90.00
loop_
_atom_site_label
_atom_site_fract_x
_atom_site_fract_y
_atom_site_fract_z
V1 0.000 0.000 0.000
V2 0.096 0.256 0.000
V3 0.152 0.427 0.000
Ga1 0.000 0.144 0.500
Ga2 0.000 0.359 0.500
Ga3 0.000 0.500 0.500
Ga4 0.199 0.000 0.500
Ga5 0.249 0.320 0.500
Ni1 0.141 0.104 0.000
# Calculated volume, Å³/f.u.: 327
# Energy, eV per atom: -5.947
# ΔE_f, eV per formula unit: -4.23
# Magnetic moment, μB per formula unit: 0.0

# La2MgSiC | Alexandria | GGA-PBE | relaxed
data_La2MgSiC
_space_group_name_H-M_alt 'P 4/m m m'
_space_group_IT_number 123
_space_group_name_Hall '-P 4 2'
_cell_length_a 5.200
_cell_length_b 5.200
_cell_length_c 4.342
_cell_angle_alpha 90.00
_cell_angle_beta 90.00
_cell_angle_gamma 90.00
loop_
_atom_site_label
_atom_site_fract_x
_atom_site_fract_y
_atom_site_fract_z
La1 0.000 0.500 0.000
Mg1 0.000 0.000 0.500
Si1 0.500 0.500 0.500
C1 0.000 0.000 0.000
# Uncorrected formation energy, kJ/mol of formula units: -117
# Calculated volume, Å³/f.u.: 117
# Energy, eV per atom: -5.462
# Magnetic moment, μB per formula unit: 0.0

# FeBiPd | Alexandria | GGA-PBE | relaxed
data_FeBiPd
_space_group_name_H-M_alt 'P 4/m m m'
_space_group_IT_number 123
_space_group_name_Hall '-P 4 2'
_cell_length_a 3.465
_cell_length_b 3.465
_cell_length_c 9.455
_cell_angle_alpha 90.00
_cell_angle_beta 90.00
_cell_angle_gamma 90.00
loop_
_atom_site_label
_atom_site_fract_x
_atom_site_fract_y
_atom_site_fract_z
Fe1 0.000 0.000 0.121
Bi1 0.500 0.500 0.310
Pd1 0.000 0.000 0.500
Pd2 0.500 0.500 0.000
# Calculated volume, Å³/f.u.: 57
# Energy, eV per atom: -5.721
# ΔE_f, eV per formula unit: 0.37
# Magnetic moment, μB per formula unit: 2.9

Q: What is the energy in the sixth record?
A: -5.721 eV per atom